VASP calculation (PBE) on a geometry-optimized Pr3Dy3Cd structure.

Calculated values
- Energy of formation from the pure elements: -3.7 kJ per mole of atoms
- Calculated total energy: -58.66 eV per cell

Cell lengths 5.6231, 9.5891, 9.5899 Å; angles 120.01, 90.00, 90.00 degrees
Element x y z (fractional)
Pr 0.2500 0.5267 0.6333
Pr 0.2500 0.1062 0.4730
Pr 0.2500 0.3666 0.8936
Pr 0.7500 0.4733 0.3667
Pr 0.7500 0.8938 0.5270
Pr 0.7500 0.6334 0.1064
Dy 0.7500 0.7644 0.8216
Dy 0.7500 0.0573 0.2356
Dy 0.7500 0.1783 0.9430
Dy 0.2500 0.2356 0.1784
Dy 0.2500 0.9427 0.7644
Dy 0.2500 0.8217 0.0570
Cd 0.7500 0.3332 0.6668
Cd 0.2500 0.6668 0.3332